No. 1
## AcYErGa (PBE)

Data for crystalline AcYErGa at its relaxed geometry.

Cell lengths 5.479, 5.479, 5.479 Å; angles 60.00, 60.00, 60.00 degrees
Element x y z (fractional)
Y  0.750  0.750  0.750
Ac  0.500  0.500  0.500
Ga  0.000  0.000  0.000
Er  0.250  0.250  0.250

Properties
- DFT formation energy (eV/atom) = 0.0623
- volume (Å³ per atom) = 29.08
- DFT total energy (eV/cell) = -17.91
- density (Mg/m³) = 7.89
- crystal system = cubic
- total moment (μB/atom) = 0.20

No. 2
## K4TiSe4 (PBE)

Data for crystalline K4TiSe4 at its relaxed geometry.

Cell lengths 8.535, 8.535, 8.535 Å; angles 79.31, 126.35, 126.35 degrees
Element x y z (fractional)
K  0.500  0.500  0.000
K  0.500  0.000  0.500
K  0.000  0.700  0.700
K  0.000  0.300  0.300
Ti  0.000  0.000  0.000
Se  0.637  0.926  0.926
Se  0.000  0.074  0.711
Se  0.363  0.289  0.289
Se  0.000  0.711  0.074

Properties
- formation energy from raw total energies (eV/f.u.) = -10.68
- volume (Å³ per atom) = 43.32
- DFT total energy (eV/cell) = -36.90
- density (Mg/m³) = 2.22
- crystal system = tetragonal
- total moment (μB/atom) = 0.00

No. 3
## Sc2In8Ni (PBE)

Data for crystalline Sc2In8Ni at its relaxed geometry.

Cell lengths 4.559, 4.559, 11.861 Å; angles 90.00, 90.00, 90.00 degrees
Element x y z (fractional)
Sc  0.000  0.000  0.310
Sc  0.000  0.000  0.690
In  0.000  0.500  0.500
In  0.500  0.000  0.500
In  0.500  0.500  0.309
In  0.500  0.500  0.691
In  0.000  0.500  0.125
In  0.500  0.000  0.125
In  0.000  0.500  0.875
In  0.500  0.000  0.875
Ni  0.000  0.000  0.000

Properties
- DFT formation energy (eV/atom) = -0.2502
- volume (Å³ per atom) = 22.41
- DFT total energy (eV/cell) = -43.10
- density (Mg/m³) = 7.19
- crystal system = tetragonal
- total moment (μB/atom) = 0.00

No. 4
## FeTeSe3 (PBE)

Data for crystalline FeTeSe3 at its relaxed geometry.

Cell lengths 4.765, 4.765, 4.765 Å; angles 90.00, 90.00, 90.00 degrees
Element x y z (fractional)
Te  0.500  0.500  0.500
Fe  0.000  0.000  0.000
Se  0.000  0.500  0.000
Se  0.000  0.000  0.500
Se  0.500  0.000  0.000

Properties
- formation energy from raw total energies (eV/f.u.) = 1.34
- volume (Å³ per atom) = 21.63
- DFT total energy (eV/cell) = -20.72
- density (Mg/m³) = 6.45
- crystal system = cubic
- ΔE to the lowest computed polymorph (meV per atom) = 0.0
- total moment (μB/atom) = 0.50

No. 5
## RbVSeN2 (PBE)

Data for crystalline RbVSeN2 at its relaxed geometry.

Cell lengths 4.097, 4.097, 5.986 Å; angles 90.00, 90.00, 90.00 degrees
Element x y z (fractional)
N  0.000  0.500  0.000
N  0.500  0.000  0.000
Se  0.000  0.000  0.500
Rb  0.000  0.000  0.000
V  0.500  0.500  0.500

Properties
- formation energy from raw total energies (eV/f.u.) = 14.14
- volume (Å³ per atom) = 20.10
- DFT total energy (eV/cell) = -16.08
- density (Mg/m³) = 4.02
- crystal system = tetragonal
- ΔE to the lowest computed polymorph (meV per atom) = 2480.5
- total moment (μB/atom) = 0.00

No. 6
## KBa2Pm (PBE)

Data for crystalline KBa2Pm at its relaxed geometry.

Cell lengths 4.119, 4.119, 12.885 Å; angles 90.00, 90.00, 90.00 degrees
Element x y z (fractional)
K  0.500  0.500  0.500
Ba  0.000  0.000  0.786
Ba  0.000  0.000  0.214
Pm  0.500  0.500  0.000

Properties
- DFT formation energy (eV/atom) = 0.1831
- volume (Å³ per atom) = 54.66
- DFT total energy (eV/cell) = -8.96
- density (Mg/m³) = 3.48
- crystal system = tetragonal
- ΔE to the lowest computed polymorph (meV per atom) = 0.0
- total moment (μB/atom) = 0.08

No. 7
## AgHPd2Pt (PBE)

Data for crystalline AgHPd2Pt at its relaxed geometry.

Cell lengths 4.013, 4.013, 4.130 Å; angles 90.00, 90.00, 90.00 degrees
Element x y z (fractional)
H  0.000  0.000  0.000
Pd  0.000  0.500  0.000
Pd  0.500  0.000  0.000
Ag  0.000  0.000  0.500
Pt  0.500  0.500  0.500

Properties
- volume (Å³ per atom) = 13.31
- DFT total energy (eV/cell) = -22.40
- density (Mg/m³) = 12.90
- crystal system = tetragonal
- ΔE to the lowest computed polymorph (meV per atom) = 77.5
- total moment (μB/atom) = 0.00

No. 8
## CdMoPb2 (PBE)

Data for crystalline CdMoPb2 at its relaxed geometry.

Cell lengths 3.536, 3.536, 7.714 Å; angles 90.00, 90.00, 90.00 degrees
Element x y z (fractional)
Cd  0.000  0.000  0.540
Mo  0.500  0.500  0.752
Pb  0.000  0.000  0.938
Pb  0.500  0.500  0.270

Properties
- DFT formation energy (eV/atom) = 0.5744
- volume (Å³ per atom) = 24.12
- DFT total energy (eV/cell) = -16.87
- density (Mg/m³) = 10.72
- crystal system = tetragonal
- total moment (μB/atom) = 0.00

No. 9
## Pr5In3Se12 (PBE)

Data for crystalline Pr5In3Se12 at its relaxed geometry.

Cell lengths 14.941, 14.941, 14.941 Å; angles 109.47, 109.47, 109.47 degrees
Element x y z (fractional)
In  0.750  0.375  0.125
In  0.875  0.750  0.125
In  0.375  0.750  0.625
In  0.250  0.125  0.375
In  0.875  0.125  0.250
In  0.375  0.625  0.250
In  0.625  0.375  0.750
In  0.125  0.875  0.750
In  0.750  0.875  0.625
In  0.625  0.250  0.375
In  0.125  0.250  0.875
In  0.250  0.625  0.875
Pr  0.125  0.375  0.250
Pr  0.000  0.500  0.000
Pr  0.000  0.000  0.000
Pr  0.375  0.250  0.125
Pr  0.500  0.000  0.500
Pr  0.500  0.500  0.000
Pr  0.125  0.750  0.375
Pr  0.750  0.125  0.875
Pr  0.750  0.625  0.375
Pr  0.375  0.125  0.750
Pr  0.625  0.875  0.250
Pr  0.500  0.500  0.500
Pr  0.500  0.000  0.000
Pr  0.000  0.000  0.500
Pr  0.250  0.375  0.625
Pr  0.250  0.875  0.125
Pr  0.000  0.500  0.500
Pr  0.875  0.250  0.625
Pr  0.625  0.750  0.875
Pr  0.875  0.625  0.750
Se  0.732  0.123  0.056
Se  0.324  0.556  0.433
Se  0.944  0.377  0.268
Se  0.556  0.232  0.123
Se  0.610  0.732  0.676
Se  0.944  0.567  0.176
Se  0.324  0.768  0.390
Se  0.067  0.890  0.123
Se  0.567  0.944  0.676
Se  0.732  0.610  0.176
Se  0.768  0.444  0.377
Se  0.824  0.933  0.056
Se  0.123  0.732  0.556
Se  0.377  0.433  0.110
Se  0.110  0.933  0.377
Se  0.390  0.123  0.567
Se  0.110  0.176  0.232
Se  0.444  0.676  0.067
Se  0.824  0.890  0.268
Se  0.123  0.390  0.067
Se  0.377  0.944  0.768
Se  0.567  0.623  0.390
Se  0.933  0.824  0.556
Se  0.768  0.324  0.890
Se  0.433  0.377  0.610
Se  0.067  0.176  0.444
Se  0.232  0.676  0.110
Se  0.176  0.110  0.732
Se  0.623  0.056  0.232
Se  0.877  0.610  0.933
Se  0.556  0.324  0.933
Se  0.610  0.877  0.433
Se  0.890  0.824  0.768
Se  0.890  0.067  0.623
Se  0.877  0.268  0.444
Se  0.176  0.067  0.944
Se  0.623  0.567  0.890
Se  0.433  0.056  0.324
Se  0.268  0.390  0.824
Se  0.232  0.556  0.623
Se  0.933  0.110  0.877
Se  0.676  0.232  0.610
Se  0.444  0.768  0.877
Se  0.056  0.433  0.824
Se  0.390  0.268  0.324
Se  0.056  0.623  0.732
Se  0.676  0.444  0.567
Se  0.268  0.877  0.944

Properties
- formation energy from raw total energies (eV/f.u.) = -18.39
- volume (Å³ per atom) = 32.09
- DFT total energy (eV/cell) = -369.28
- density (Mg/m³) = 5.16
- crystal system = cubic
- total moment (μB/atom) = 0.00

No. 10
## PmBiF (PBE)

Data for crystalline PmBiF at its relaxed geometry.

Cell lengths 4.219, 6.272, 6.837 Å; angles 113.18, 89.97, 109.68 degrees
Element x y z (fractional)
Pm  0.814  0.127  0.269
Pm  0.191  0.881  0.734
Bi  0.542  0.583  0.309
Bi  0.462  0.425  0.695
F  0.780  0.059  0.902
F  0.224  0.949  0.101

Properties
- formation energy from raw total energies (eV/f.u.) = -6.26
- volume (Å³ per atom) = 25.79
- DFT total energy (eV/cell) = -33.53
- density (Mg/m³) = 8.01
- crystal system = monoclinic
- ΔE to the lowest computed polymorph (meV per atom) = 0.0
- total moment (μB/atom) = 0.00

No. 11
## YMgTl (PBE)

Data for crystalline YMgTl at its relaxed geometry.

Cell lengths 4.613, 4.613, 7.726 Å; angles 90.00, 90.00, 90.00 degrees
Element x y z (fractional)
Y  0.000  0.500  0.175
Y  0.500  0.000  0.825
Tl  0.000  0.000  0.500
Tl  0.500  0.500  0.500
Mg  0.000  0.500  0.758
Mg  0.500  0.000  0.242

Properties
- DFT formation energy (eV/atom) = -0.0711
- volume (Å³ per atom) = 27.40
- DFT total energy (eV/cell) = -21.28
- density (Mg/m³) = 6.42
- crystal system = tetragonal
- total moment (μB/atom) = 0.00

No. 12
## Tl2W (PBE)

Data for crystalline Tl2W at its relaxed geometry.

Cell lengths 5.097, 5.097, 2.955 Å; angles 90.00, 90.00, 120.00 degrees
Element x y z (fractional)
Tl  0.667  0.333  0.277
Tl  0.333  0.667  0.723
W  0.000  0.000  0.000

Properties
- DFT formation energy (eV/atom) = 1.2184
- volume (Å³ per atom) = 22.17
- DFT total energy (eV/cell) = -14.03
- density (Mg/m³) = 14.80
- crystal system = trigonal
- ΔE to the lowest computed polymorph (meV per atom) = 590.2
- total moment (μB/atom) = 0.00

Q: Which value of total moment does entry 8 give?
A: 0.00 μB/atom

Q: The highest DFT total energy belongs to which entry?
A: KBa2Pm

Q: Number 5 is which compound?
A: RbVSeN2